The following is a DFT calculation (PBE) of a relaxed structure of NaSmPt2.

Calculated values
energy relative to the elements = -61.92 kJ per mole of atoms

Cell: 4.473 4.473 3.972 Å, 90.00 90.00 90.00°
Space group P4/mmm (No. 123)
Symmetry-distinct sites (fractional):
Na 0.000 0.000 0.000 [1 per cell]
Sm 0.500 0.500 0.000 [1 per cell]
Pt 0.000 0.500 0.500 [2 per cell]

=====

The following is a DFT calculation (PBE) of a relaxed structure of NaSm3Pt8.

Calculated values
energy relative to the elements = -92.81 kJ per mole of atoms

Cell: 5.4650 5.4650 26.7046 Å, 90.00 90.00 120.00°
Space group R3m (No. 160, hexagonal axes)
Symmetry-distinct sites (fractional):
Na 0.0000 0.0000 0.0000 [3 per cell]
Sm 0.0000 0.0000 0.1214 [3 per cell]
Sm 0.0000 0.0000 0.5057 [3 per cell]
Sm 0.0000 0.0000 0.6339 [3 per cell]
Pt 0.0000 0.0000 0.3159 [3 per cell]
Pt 0.0000 0.0000 0.8157 [3 per cell]
Pt 0.0031 0.5016 0.0664 [9 per cell]
Pt 0.1675 0.3350 0.8982 [9 per cell]

=====

The following is a DFT calculation (PBE) of a relaxed structure of NaSmTlPt.

Calculated values
energy relative to the elements = -40.73 kJ per mole of atoms

Cell: 7.074 7.074 7.074 Å, 90.00 90.00 90.00°
Space group F-43m (No. 216)
Symmetry-distinct sites (fractional):
Na 0.000 0.000 0.000 [4 per cell]
Sm 0.250 0.250 0.250 [4 per cell]
Tl 0.250 0.250 0.750 [4 per cell]
Pt 0.000 0.000 0.500 [4 per cell]